A plane-wave DFT calculation with PBE-GGA was carried out for an optimized crystal structure of LiCaScAg.

Computed properties:
**Energy of formation**: -0.194 eV/f.u.
**Theoretical density**: 3.6 g cm⁻³

The structure in CIF format:
```
data_LiCaScAg
_chemical_formula_sum 'Li1 Ca1 Sc1 Ag1'
_cell_length_a 5.074
_cell_length_b 5.074
_cell_length_c 5.074
_cell_angle_alpha 60.00
_cell_angle_beta 60.00
_cell_angle_gamma 60.00
_symmetry_space_group_name_H-M 'P 1'
_symmetry_Int_Tables_number 1
loop_
_symmetry_equiv_pos_as_xyz
'x,y,z'
loop_
_atom_site_label
_atom_site_type_symbol
_atom_site_fract_x
_atom_site_fract_y
_atom_site_fract_z
_atom_site_occupancy
Li1 Li 0.000 0.000 0.000 1
Ca1 Ca 0.250 0.250 0.250 1
Sc1 Sc 0.750 0.750 0.750 1
Ag1 Ag 0.500 0.500 0.500 1
```

***

A plane-wave DFT calculation with PBE-GGA was carried out for an optimized crystal structure of LiCa2AgSe.

Computed properties:
**Energy above the lowest structure with this stoichiometry**: 571 meV/atom
**Theoretical density**: 2.7 g cm⁻³

The structure in CIF format:
```
data_LiCa2AgSe
_chemical_formula_sum 'Li1 Ca2 Ag1 Se1'
_cell_length_a 5.719
_cell_length_b 5.719
_cell_length_c 5.192
_cell_angle_alpha 90.00
_cell_angle_beta 90.00
_cell_angle_gamma 90.00
_symmetry_space_group_name_H-M 'P 1'
_symmetry_Int_Tables_number 1
loop_
_symmetry_equiv_pos_as_xyz
'x,y,z'
loop_
_atom_site_label
_atom_site_type_symbol
_atom_site_fract_x
_atom_site_fract_y
_atom_site_fract_z
_atom_site_occupancy
Li1 Li 0.000 0.000 0.000 1
Ca1 Ca 0.000 0.500 0.500 1
Ca2 Ca 0.500 0.000 0.500 1
Ag1 Ag 0.500 0.500 0.500 1
Se1 Se 0.500 0.500 0.000 1
```

***

A plane-wave DFT calculation with PBE-GGA was carried out for an optimized crystal structure of LiCa2AgSe.

Computed properties:
**Energy above the lowest structure with this stoichiometry**: 0 meV/atom
**Theoretical density**: 3.1 g cm⁻³

The structure in CIF format:
```
data_LiCa2AgSe
_chemical_formula_sum 'Li1 Ca2 Ag1 Se1'
_cell_length_a 5.604
_cell_length_b 5.604
_cell_length_c 4.662
_cell_angle_alpha 90.00
_cell_angle_beta 90.00
_cell_angle_gamma 90.00
_symmetry_space_group_name_H-M 'P 1'
_symmetry_Int_Tables_number 1
loop_
_symmetry_equiv_pos_as_xyz
'x,y,z'
loop_
_atom_site_label
_atom_site_type_symbol
_atom_site_fract_x
_atom_site_fract_y
_atom_site_fract_z
_atom_site_occupancy
Li1 Li 0.000 0.000 0.000 1
Ca1 Ca 0.000 0.500 0.500 1
Ca2 Ca 0.500 0.000 0.500 1
Ag1 Ag 0.500 0.500 0.000 1
Se1 Se 0.000 0.000 0.500 1
```

***

A plane-wave DFT calculation with PBE-GGA was carried out for an optimized crystal structure of Li2CaSmAg2.

Computed properties:
**Energy of formation**: -0.892 eV/f.u.
**Theoretical density**: 4.9 g cm⁻³

The structure in CIF format:
```
data_Li2CaSmAg2
_chemical_formula_sum 'Li2 Ca1 Sm1 Ag2'
_cell_length_a 4.674
_cell_length_b 4.674
_cell_length_c 7.517
_cell_angle_alpha 90.00
_cell_angle_beta 90.00
_cell_angle_gamma 120.00
_symmetry_space_group_name_H-M 'P 1'
_symmetry_Int_Tables_number 1
loop_
_symmetry_equiv_pos_as_xyz
'x,y,z'
loop_
_atom_site_label
_atom_site_type_symbol
_atom_site_fract_x
_atom_site_fract_y
_atom_site_fract_z
_atom_site_occupancy
Li1 Li 0.333 0.667 0.247 1
Li2 Li 0.667 0.333 0.753 1
Ca1 Ca 0.000 0.000 0.000 1
Sm1 Sm 0.000 0.000 0.500 1
Ag1 Ag 0.333 0.667 0.736 1
Ag2 Ag 0.667 0.333 0.264 1
```

***

A plane-wave DFT calculation with PBE-GGA was carried out for an optimized crystal structure of LiCaSmAg.

Computed properties:
**Energy of formation**: -0.436 eV/f.u.
**Theoretical density**: 4.9 g cm⁻³

The structure in CIF format:
```
data_LiCaSmAg
_chemical_formula_sum 'Li1 Ca1 Sm1 Ag1'
_cell_length_a 5.278
_cell_length_b 5.278
_cell_length_c 5.278
_cell_angle_alpha 60.00
_cell_angle_beta 60.00
_cell_angle_gamma 60.00
_symmetry_space_group_name_H-M 'P 1'
_symmetry_Int_Tables_number 1
loop_
_symmetry_equiv_pos_as_xyz
'x,y,z'
loop_
_atom_site_label
_atom_site_type_symbol
_atom_site_fract_x
_atom_site_fract_y
_atom_site_fract_z
_atom_site_occupancy
Li1 Li 0.000 0.000 0.000 1
Ca1 Ca 0.750 0.750 0.750 1
Sm1 Sm 0.250 0.250 0.250 1
Ag1 Ag 0.500 0.500 0.500 1
```

***

A plane-wave DFT calculation with PBE-GGA was carried out for an optimized crystal structure of LiCa2Ag6Sn.

Computed properties:
**Energy of formation**: -1.866 eV/f.u.
**Theoretical density**: 6.4 g cm⁻³

The structure in CIF format:
```
data_LiCa2Ag6Sn
_chemical_formula_sum 'Li1 Ca2 Ag6 Sn1'
_cell_length_a 5.593
_cell_length_b 6.877
_cell_length_c 7.052
_cell_angle_alpha 93.21
_cell_angle_beta 113.34
_cell_angle_gamma 113.48
_symmetry_space_group_name_H-M 'P 1'
_symmetry_Int_Tables_number 1
loop_
_symmetry_equiv_pos_as_xyz
'x,y,z'
loop_
_atom_site_label
_atom_site_type_symbol
_atom_site_fract_x
_atom_site_fract_y
_atom_site_fract_z
_atom_site_occupancy
Li1 Li 0.000 0.000 0.000 1
Ca1 Ca 0.239 0.730 0.750 1
Ca2 Ca 0.761 0.270 0.250 1
Ag1 Ag 0.184 0.176 0.690 1
Ag2 Ag 0.243 0.431 0.055 1
Ag3 Ag 0.314 0.827 0.309 1
Ag4 Ag 0.686 0.173 0.691 1
Ag5 Ag 0.757 0.569 0.945 1
Ag6 Ag 0.816 0.824 0.310 1
Sn1 Sn 0.500 0.500 0.500 1
```